(1)
Hg2PBr: relaxed, PBE.

```
data_Hg2PBr
_cell_length_a 3.489
_cell_length_b 3.489
_cell_length_c 7.645
_cell_angle_alpha 90.00
_cell_angle_beta 90.00
_cell_angle_gamma 90.00
_space_group_name_H-M_alt 'P 4/m m m'
_space_group_IT_number 123
_space_group_name_Hall '-P 4 2'
loop_
_atom_site_label
_atom_site_type_symbol
_atom_site_fract_x
_atom_site_fract_y
_atom_site_fract_z
Hg1 Hg 0.000 0.000 0.216
P1 P 0.500 0.500 0.000
Br1 Br 0.500 0.500 0.500
```

Properties
Crystal system: tetragonal
Energy above the most stable polymorph in this dataset: 567.5 meV/atom
Total magnetic moment: 0.000 μB/atom

=====

(2)
CeAgCl4: relaxed, PBE.

```
data_CeAgCl4
_cell_length_a 8.853
_cell_length_b 8.853
_cell_length_c 9.175
_cell_angle_alpha 90.00
_cell_angle_beta 90.00
_cell_angle_gamma 90.00
_space_group_name_H-M_alt 'I 41/a m d'
_space_group_IT_number 141
loop_
_space_group_symop_operation_xyz
'x,y,z'
'-x,-y,-z'
'-y+1/4,x+3/4,z+1/4'
'y+1/4,-x+3/4,-z+1/4'
'-x+1/2,-y,z+1/2'
'x+1/2,y,-z+1/2'
'y+1/4,-x+1/4,z+3/4'
'-y+1/4,x+1/4,-z+3/4'
'x,-y,-z'
'-x,y,z'
'-y+1/4,-x+1/4,-z+3/4'
'y+1/4,x+1/4,z+3/4'
'-x+1/2,y,-z+1/2'
'x+1/2,-y,z+1/2'
'y+1/4,x+3/4,-z+1/4'
'-y+1/4,-x+3/4,z+1/4'
'x+1/2,y+1/2,z+1/2'
'-x+1/2,-y+1/2,-z+1/2'
'-y+3/4,x+1/4,z+3/4'
'y+3/4,-x+1/4,-z+3/4'
'-x,-y+1/2,z'
'x,y+1/2,-z'
'y+3/4,-x+3/4,z+1/4'
'-y+3/4,x+3/4,-z+1/4'
'x+1/2,-y+1/2,-z+1/2'
'-x+1/2,y+1/2,z+1/2'
'-y+3/4,-x+3/4,-z+1/4'
'y+3/4,x+3/4,z+1/4'
'-x,y+1/2,-z'
'x,-y+1/2,z'
'y+3/4,x+1/4,-z+3/4'
'-y+3/4,-x+1/4,z+3/4'
loop_
_atom_site_label
_atom_site_type_symbol
_atom_site_fract_x
_atom_site_fract_y
_atom_site_fract_z
Ce1 Ce 0.000 0.250 0.375
Ag1 Ag 0.000 0.250 0.875
Cl1 Cl 0.000 0.064 0.660
```

Properties
VASP energy: -102.5 eV/cell
Crystal system: tetragonal
Total magnetic moment: 0.167 μB/atom

=====

(3)
Fe2Cu2Br7: relaxed, PBE.

```
data_Fe2Cu2Br7
_cell_length_a 9.901
_cell_length_b 11.037
_cell_length_c 14.685
_cell_angle_alpha 90.00
_cell_angle_beta 109.33
_cell_angle_gamma 90.00
_space_group_name_H-M_alt 'C 1 2/c 1'
_space_group_IT_number 15
_space_group_name_Hall '-C 2yc'
loop_
_atom_site_label
_atom_site_type_symbol
_atom_site_fract_x
_atom_site_fract_y
_atom_site_fract_z
Fe1 Fe 0.193 0.033 0.220
Cu1 Cu 0.066 0.380 0.185
Br1 Br 0.000 0.084 0.750
Br2 Br 0.111 0.195 0.109
Br3 Br 0.130 0.431 0.627
Br4 Br 0.204 0.382 0.362
```

Properties
VASP energy: -165.2 eV/cell
Crystal system: monoclinic
Total magnetic moment: 0.818 μB/atom

=====

(4)
LaTm2IO8: relaxed, PBE.

```
data_LaTm2IO8
_cell_length_a 7.039
_cell_length_b 7.099
_cell_length_c 6.995
_cell_angle_alpha 90.00
_cell_angle_beta 90.00
_cell_angle_gamma 90.00
_space_group_name_H-M_alt 'C m m m'
_space_group_IT_number 65
_space_group_name_Hall '-C 2 2'
loop_
_atom_site_label
_atom_site_type_symbol
_atom_site_fract_x
_atom_site_fract_y
_atom_site_fract_z
La1 La 0.000 0.000 0.000
Tm1 Tm 0.000 0.500 0.249
I1 I 0.000 0.000 0.500
O1 O 0.000 0.269 0.500
O2 O 0.000 0.320 0.000
O3 O 0.186 0.000 0.302
```

Properties
VASP energy: -166.7 eV/cell
Crystal system: orthorhombic
Total magnetic moment: 0.000 μB/atom

=====

(5)
CaTcSb2: relaxed, PBE.

```
data_CaTcSb2
_cell_length_a 4.280
_cell_length_b 4.280
_cell_length_c 10.034
_cell_angle_alpha 90.00
_cell_angle_beta 90.00
_cell_angle_gamma 90.00
_space_group_name_H-M_alt 'I -4 m 2'
_space_group_IT_number 119
_space_group_name_Hall 'I -4 -2'
loop_
_atom_site_label
_atom_site_type_symbol
_atom_site_fract_x
_atom_site_fract_y
_atom_site_fract_z
Ca1 Ca 0.000 0.000 0.000
Tc1 Tc 0.000 0.500 0.250
Sb1 Sb 0.000 0.000 0.500
Sb2 Sb 0.000 0.500 0.750
```

Properties
Crystal system: tetragonal
Energy above the most stable polymorph in this dataset: 354.8 meV/atom
Total magnetic moment: 0.552 μB/atom

=====

(6)
MnCuCl2: relaxed, PBE.

```
data_MnCuCl2
_cell_length_a 5.661
_cell_length_b 5.661
_cell_length_c 10.694
_cell_angle_alpha 90.00
_cell_angle_beta 90.00
_cell_angle_gamma 90.00
_space_group_name_H-M_alt 'I -4 2 d'
_space_group_IT_number 122
_space_group_name_Hall 'I -4 2bw'
loop_
_atom_site_label
_atom_site_type_symbol
_atom_site_fract_x
_atom_site_fract_y
_atom_site_fract_z
Mn1 Mn 0.000 0.000 0.000
Cu1 Cu 0.000 0.000 0.500
Cl1 Cl 0.239 0.250 0.625
```

Properties
Crystal system: tetragonal
Energy above the most stable polymorph in this dataset: 200.8 meV/atom
Total magnetic moment: 1.064 μB/atom

=====

(7)
LiIrNF2: relaxed, PBE.

```
data_LiIrNF2
_cell_length_a 3.241
_cell_length_b 3.241
_cell_length_c 4.729
_cell_angle_alpha 90.00
_cell_angle_beta 90.00
_cell_angle_gamma 90.00
_space_group_name_H-M_alt 'P 4/m m m'
_space_group_IT_number 123
_space_group_name_Hall '-P 4 2'
loop_
_atom_site_label
_atom_site_type_symbol
_atom_site_fract_x
_atom_site_fract_y
_atom_site_fract_z
Li1 Li 0.000 0.000 0.000
Ir1 Ir 0.500 0.500 0.500
N1 N 0.000 0.000 0.500
F1 F 0.000 0.500 0.000
```

Properties
Crystal system: tetragonal
Energy above the most stable polymorph in this dataset: 731.6 meV/atom
Total magnetic moment: 0.075 μB/atom

=====

(8)
SmDyTl3: relaxed, PBE.

```
data_SmDyTl3
_cell_length_a 7.4136
_cell_length_b 7.4136
_cell_length_c 6.4762
_cell_angle_alpha 90.00
_cell_angle_beta 90.00
_cell_angle_gamma 120.00
_space_group_name_H-M_alt 'P 63/m m c'
_space_group_IT_number 194
_space_group_name_Hall '-P 6c 2c'
loop_
_atom_site_label
_atom_site_type_symbol
_atom_site_fract_x
_atom_site_fract_y
_atom_site_fract_z
Sm1 Sm 0.3333 0.6667 0.2500
Dy1 Dy 0.0000 0.0000 0.0000
Tl1 Tl 0.1995 0.3990 0.7500
```

Properties
Energy of formation: -0.09 eV/atom
Crystal system: hexagonal
Total magnetic moment: 0.000 μB/atom

=====

(9)
BaNaAu: relaxed, PBE.

```
data_BaNaAu
_cell_length_a 4.095
_cell_length_b 4.095
_cell_length_c 11.912
_cell_angle_alpha 90.00
_cell_angle_beta 90.00
_cell_angle_gamma 90.00
_space_group_name_H-M_alt 'I 4 m m'
_space_group_IT_number 107
_space_group_name_Hall 'I 4 -2'
loop_
_atom_site_label
_atom_site_type_symbol
_atom_site_fract_x
_atom_site_fract_y
_atom_site_fract_z
Ba1 Ba 0.000 0.000 0.000
Na1 Na 0.000 0.000 0.279
Au1 Au 0.000 0.000 0.651
```

Properties
Energy of formation: -0.36 eV/atom
Crystal system: tetragonal
Energy above the most stable polymorph in this dataset: 113.5 meV/atom
Total magnetic moment: 0.000 μB/atom

=====

(10)
AlOs: relaxed, PBE.

```
data_AlOs
_cell_length_a 7.703
_cell_length_b 7.703
_cell_length_c 7.703
_cell_angle_alpha 90.00
_cell_angle_beta 90.00
_cell_angle_gamma 90.00
_space_group_name_H-M_alt 'I -4 3 m'
_space_group_IT_number 217
_space_group_name_Hall 'I -4 2 3'
loop_
_atom_site_label
_atom_site_type_symbol
_atom_site_fract_x
_atom_site_fract_y
_atom_site_fract_z
Al1 Al 0.195 0.195 0.195
Os1 Os 0.118 0.118 0.882
```

Properties
Energy of formation: 1.13 eV/atom
Crystal system: cubic
Total magnetic moment: 0.001 μB/atom

=====

(11)
CaLaY: relaxed, PBE.

```
data_CaLaY
_cell_length_a 3.959
_cell_length_b 6.013
_cell_length_c 18.628
_cell_angle_alpha 90.00
_cell_angle_beta 90.00
_cell_angle_gamma 90.00
_space_group_name_H-M_alt 'F m m 2'
_space_group_IT_number 42
_space_group_name_Hall 'F 2 -2'
loop_
_atom_site_label
_atom_site_type_symbol
_atom_site_fract_x
_atom_site_fract_y
_atom_site_fract_z
Ca1 Ca 0.000 0.000 0.000
La1 La 0.000 0.000 0.679
Y1 Y 0.000 0.000 0.335
```

Properties
Energy of formation: 0.11 eV/atom
Crystal system: orthorhombic
Energy above the most stable polymorph in this dataset: 72.0 meV/atom
Total magnetic moment: 0.001 μB/atom

=====

(12)
Er6CoHg: relaxed, PBE.

```
data_Er6CoHg
_cell_length_a 6.710
_cell_length_b 6.713
_cell_length_c 7.286
_cell_angle_alpha 90.03
_cell_angle_beta 117.37
_cell_angle_gamma 119.98
_space_group_name_H-M_alt 'P -1'
_space_group_IT_number 2
_space_group_name_Hall '-P 1'
loop_
_atom_site_label
_atom_site_type_symbol
_atom_site_fract_x
_atom_site_fract_y
_atom_site_fract_z
Er1 Er 0.047 0.088 0.261
Er2 Er 0.303 0.714 0.261
Er3 Er 0.327 0.542 0.739
Co1 Co 0.500 0.500 0.500
Hg1 Hg 0.500 0.000 0.000
```

Properties
Energy of formation: -0.02 eV/atom
Crystal system: triclinic
Total magnetic moment: 0.000 μB/atom

=====

(13)
NaTaBiSb: relaxed, PBE.

```
data_NaTaBiSb
_cell_length_a 3.6090
_cell_length_b 3.6090
_cell_length_c 9.1887
_cell_angle_alpha 90.00
_cell_angle_beta 90.00
_cell_angle_gamma 120.00
_space_group_name_H-M_alt 'P 3 m 1'
_space_group_IT_number 156
_space_group_name_Hall 'P 3 -2"'
loop_
_atom_site_label
_atom_site_type_symbol
_atom_site_fract_x
_atom_site_fract_y
_atom_site_fract_z
Na1 Na 0.0000 0.0000 0.0000
Ta1 Ta 0.0000 0.0000 0.5241
Bi1 Bi 0.3333 0.6667 0.2958
Sb1 Sb 0.6667 0.3333 0.7303
```

Properties
Crystal system: trigonal
Energy above the most stable polymorph in this dataset: 0.0 meV/atom
Total magnetic moment: 0.000 μB/atom

=====

(14)
CrAs2Pd: relaxed, PBE.

```
data_CrAs2Pd
_cell_length_a 4.245
_cell_length_b 4.245
_cell_length_c 16.030
_cell_angle_alpha 90.00
_cell_angle_beta 90.00
_cell_angle_gamma 90.00
_space_group_name_H-M_alt 'I -4 2 d'
_space_group_IT_number 122
_space_group_name_Hall 'I -4 2bw'
loop_
_atom_site_label
_atom_site_type_symbol
_atom_site_fract_x
_atom_site_fract_y
_atom_site_fract_z
Cr1 Cr 0.000 0.000 0.000
As1 As 0.244 0.250 0.125
Pd1 Pd 0.000 0.000 0.500
```

Properties
Energy of formation: -0.02 eV/atom
Crystal system: tetragonal
Total magnetic moment: 0.763 μB/atom

=====

(15)
Tb2Pm2Sm2In: relaxed, PBE.

```
data_Tb2Pm2Sm2In
_cell_length_a 5.914
_cell_length_b 5.914
_cell_length_c 12.954
_cell_angle_alpha 90.00
_cell_angle_beta 103.16
_cell_angle_gamma 90.00
_space_group_name_H-M_alt 'C 1 2/m 1'
_space_group_IT_number 12
_space_group_name_Hall '-C 2y'
loop_
_atom_site_label
_atom_site_type_symbol
_atom_site_fract_x
_atom_site_fract_y
_atom_site_fract_z
Tb1 Tb 0.066 0.000 0.128
Pm1 Pm 0.211 0.000 0.421
Sm1 Sm 0.141 0.500 0.282
In1 In 0.000 0.500 0.000
```

Properties
Energy of formation: -0.03 eV/atom
Crystal system: monoclinic
Total magnetic moment: 0.000 μB/atom

=====

(16)
Tl2VP: relaxed, PBE.

```
data_Tl2VP
_cell_length_a 8.078
_cell_length_b 8.078
_cell_length_c 5.698
_cell_angle_alpha 90.00
_cell_angle_beta 90.00
_cell_angle_gamma 90.00
_space_group_name_H-M_alt 'I -4 2 d'
_space_group_IT_number 122
_space_group_name_Hall 'I -4 2bw'
loop_
_atom_site_label
_atom_site_type_symbol
_atom_site_fract_x
_atom_site_fract_y
_atom_site_fract_z
Tl1 Tl 0.223 0.750 0.125
V1 V 0.000 0.000 0.500
P1 P 0.000 0.000 0.000
```

Properties
Energy of formation: 0.59 eV/atom
Crystal system: tetragonal
Energy above the most stable polymorph in this dataset: 0.0 meV/atom
Total magnetic moment: 0.813 μB/atom

=====

(17)
AcDyHg2: relaxed, PBE.

```
data_AcDyHg2
_cell_length_a 4.0029
_cell_length_b 4.0029
_cell_length_c 27.7450
_cell_angle_alpha 90.00
_cell_angle_beta 90.00
_cell_angle_gamma 120.00
_space_group_name_H-M_alt 'R 3 m'
_space_group_IT_number 160
_space_group_name_Hall 'R 3 -2"'
loop_
_atom_site_label
_atom_site_type_symbol
_atom_site_fract_x
_atom_site_fract_y
_atom_site_fract_z
Ac1 Ac 0.0000 0.0000 0.0000
Dy1 Dy 0.0000 0.0000 0.8332
Hg1 Hg 0.0000 0.0000 0.4240
Hg2 Hg 0.0000 0.0000 0.5756
```

Properties
Energy of formation: -0.31 eV/atom
Crystal system: trigonal
Total magnetic moment: 0.000 μB/atom

=====

(18)
Th4Sb2PbSe: relaxed, PBE.

```
data_Th4Sb2PbSe
_cell_length_a 7.687
_cell_length_b 4.462
_cell_length_c 7.754
_cell_angle_alpha 90.00
_cell_angle_beta 109.57
_cell_angle_gamma 90.00
_space_group_name_H-M_alt 'P 1 2/m 1'
_space_group_IT_number 10
_space_group_name_Hall '-P 2y'
loop_
_atom_site_label
_atom_site_type_symbol
_atom_site_fract_x
_atom_site_fract_y
_atom_site_fract_z
Th1 Th 0.233 0.000 0.236
Th2 Th 0.239 0.500 0.755
Sb1 Sb 0.000 0.000 0.500
Sb2 Sb 0.500 0.500 0.500
Pb1 Pb 0.500 0.000 0.000
Se1 Se 0.000 0.500 0.000
```

Properties
VASP energy: -52.2 eV/cell
Crystal system: monoclinic
Total magnetic moment: 0.000 μB/atom

=====

(19)
NdDy2IO8: relaxed, PBE.

```
data_NdDy2IO8
_cell_length_a 5.059
_cell_length_b 6.957
_cell_length_c 5.060
_cell_angle_alpha 90.00
_cell_angle_beta 90.19
_cell_angle_gamma 90.00
_space_group_name_H-M_alt 'P 1 2/m 1'
_space_group_IT_number 10
_space_group_name_Hall '-P 2y'
loop_
_atom_site_label
_atom_site_type_symbol
_atom_site_fract_x
_atom_site_fract_y
_atom_site_fract_z
Nd1 Nd 0.000 0.000 0.000
Dy1 Dy 0.500 0.249 0.500
I1 I 0.000 0.500 0.000
O1 O 0.183 0.298 0.182
O2 O 0.265 0.500 0.733
O3 O 0.316 0.000 0.683
```

Properties
VASP energy: -82.9 eV/cell
Crystal system: monoclinic
Total magnetic moment: 0.000 μB/atom

=====

(20)
Zr2HgSe: relaxed, PBE.

```
data_Zr2HgSe
_cell_length_a 3.262
_cell_length_b 3.262
_cell_length_c 7.688
_cell_angle_alpha 90.00
_cell_angle_beta 90.00
_cell_angle_gamma 90.00
_space_group_name_H-M_alt 'P 4/m m m'
_space_group_IT_number 123
_space_group_name_Hall '-P 4 2'
loop_
_atom_site_label
_atom_site_type_symbol
_atom_site_fract_x
_atom_site_fract_y
_atom_site_fract_z
Zr1 Zr 0.000 0.000 0.224
Hg1 Hg 0.500 0.500 0.500
Se1 Se 0.500 0.500 0.000
```

Properties
Crystal system: tetragonal
Energy above the most stable polymorph in this dataset: 0.0 meV/atom
Total magnetic moment: 0.000 μB/atom